First-principles (PBE) data for a geometry-optimized Pa4Co5Rh structure, as listed in Alexandria via LeMat-Bulk.

Geometry as CIF:
```
data_Pa4Co5Rh
_symmetry_space_group_name_H-M 'P 1'
_symmetry_Int_Tables_number 1
_symmetry_space_group_name_Hall 'P 1'
_cell_length_a 3.752
_cell_length_b 5.504
_cell_length_c 8.515
_cell_angle_alpha 96.35
_cell_angle_beta 102.73
_cell_angle_gamma 90.00
loop_
_atom_site_label
_atom_site_fract_x
_atom_site_fract_y
_atom_site_fract_z
Co1 0.073 0.284 0.146
Co2 0.500 0.500 0.000
Co3 0.723 0.822 0.446
Co4 0.277 0.178 0.554
Co5 0.927 0.716 0.854
Pa1 0.322 0.703 0.643
Pa2 0.097 0.768 0.193
Pa3 0.678 0.297 0.357
Pa4 0.903 0.232 0.807
Rh1 0.500 0.000 0.000
```

Computed properties:
Calculated total energy   -8.54 eV per atom
Space group   No. 12
Energy of formation from the pure elements   -453 meV/atom
Crystal system   monoclinic



First-principles (PBE) data for a geometry-optimized TaHg structure, as listed in Alexandria via LeMat-Bulk.

Geometry as CIF:
```
data_TaHg
_symmetry_space_group_name_H-M 'P 1'
_symmetry_Int_Tables_number 1
_symmetry_space_group_name_Hall 'P 1'
_cell_length_a 3.043
_cell_length_b 3.043
_cell_length_c 9.998
_cell_angle_alpha 90.00
_cell_angle_beta 90.00
_cell_angle_gamma 120.00
loop_
_atom_site_label
_atom_site_fract_x
_atom_site_fract_y
_atom_site_fract_z
Hg1 0.333 0.667 0.257
Hg2 0.000 0.000 0.993
Ta1 0.000 0.000 0.503
Ta2 0.333 0.667 0.747
```

Computed properties:
Calculated total energy   -5.74 eV per atom
Space group   No. 164
Energy of formation from the pure elements   334 meV/atom
Crystal system   trigonal